DFT (GGA-PBE) results for an optimized crystal structure of TeIrOs.

a = 4.364 Å, b = 4.364 Å, c = 4.364 Å
α = 60.00°, β = 60.00°, γ = 60.00°
Positions (direct):
Ir 0.250 0.250 0.250
Te 0.750 0.750 0.750
Os 0.000 0.000 0.000

Values from the calculation:
Space group: F-43m, No. 216
Total magnetization (μB per atom): 0.003
DFT total energy (eV per cell): -21.470
Relative energy among the computed polymorphs (kcal/mol of atoms): 0.00